YReTe PBE relaxed; formation energy (no corrections) = 0.222 eV per atom; space-group type = No. 216; Fermi-level density of states = 1.55 states/eV per atom; polymorph energy (0 for the lowest one) = 0.730 eV per formula unit
1.0
-2.141 1.745 3.749
-4.297 -1.419 1.098
-0.681 -2.677 3.749
Re Te Y
1 1 1
Cartesian
-5.340 -1.763 6.447
0.000 0.000 0.000
-3.560 -1.175 4.298


YReTe2 PBE relaxed; formation energy (no corrections) = -0.149 eV per atom; space-group type = No. 6; Fermi-level density of states = 0.68 states/eV per atom; polymorph energy (0 for the lowest one) = 0.335 eV per formula unit
1.0
-1.794 -2.050 3.116
0.298 -3.229 -1.952
6.689 -2.819 1.998
Te Y Re
2 1 1
Cartesian
1.385 -2.439 1.942
6.419 -5.345 0.181
3.756 -3.271 0.011
4.113 -6.113 1.096


YReTe PBE relaxed; formation energy (no corrections) = 0.010 eV per atom; space-group type = No. 107; Fermi-level density of states = 0.11 states/eV per atom; polymorph energy (0 for the lowest one) = 0.092 eV per formula unit
1.0
6.345 -0.001 0.001
5.456 3.239 -0.001
0.889 0.247 3.231
Re Y Te
1 1 1
Cartesian
11.636 3.193 0.049
7.980 2.191 1.131
4.875 1.339 2.051


Which magnetization belongs to each record? In order, 0.0 0.0 0.0 μB/cell.
Which volume belongs to each record? In order, 71.4 114.1 66.4 Å³ per cell.